The following is a DFT calculation (PBE) of a relaxed Cd2HgPt crystal.

Calculated values
The density of states at the Fermi level comes out at 1.69 states/eV/f.u. Its formation energy from the elements is -133 meV per atom. Its space-group type is No. 123. The total DFT energy (no corrections) is -2.176 eV per atom.

Cell lengths 3.0703, 3.0703, 8.6319 Å; angles 90.00, 90.00, 89.98 degrees
Atoms (fractional coordinates):
Cd 0.0000 0.0000 0.5330
Cd 0.0000 0.0000 0.9670
Pt 0.5000 0.5000 0.7500
Hg 0.5000 0.5000 0.2500

The following is a DFT calculation (PBE) of a relaxed NdH4Au crystal.

Calculated values
The density of states at the Fermi level comes out at 0.67 states/eV/f.u. Its space-group type is No. 12. The total DFT energy (no corrections) is -3.785 eV per atom.

Cell lengths 4.0464, 4.5871, 4.5871 Å; angles 65.47, 63.51, 63.51 degrees
Atoms (fractional coordinates):
H 0.3247 0.9091 0.4461
H 0.3247 0.4501 0.9051
H 0.6790 0.5553 0.0923
Nd 0.0019 0.5027 0.4987
Au 0.5019 0.0027 0.9987
H 0.6790 0.0964 0.5513

The following is a DFT calculation (PBE) of a relaxed Sm3Y4Se8 crystal.

Calculated values
The density of states at the Fermi level comes out at 6.69 states/eV/f.u. Its space-group type is No. 12. The total DFT energy (no corrections) is -6.382 eV per atom.

Cell lengths 8.2171, 8.2267, 8.2267 Å; angles 90.02, 119.94, 119.94 degrees
Atoms (fractional coordinates):
Y 0.5000 0.0000 0.0000
Y 0.0000 0.5000 0.0000
Y 0.0000 0.0000 0.0000
Sm 0.5000 0.5000 0.0000
Se 0.9952 0.2491 0.2491
Se 0.4979 0.7514 0.7514
Se 0.5000 0.7525 0.2475
Se 0.0000 0.2513 0.7487
Y 0.0000 0.0000 0.5000
Sm 0.5000 0.5000 0.5000
Se 0.0048 0.7509 0.7509
Se 0.0000 0.7487 0.2513
Sm 0.5000 0.0000 0.5000
Se 0.5000 0.2475 0.7525
Se 0.5021 0.2486 0.2486

The following is a DFT calculation (PBE) of a relaxed Sr2YPbSe4 crystal.

Calculated values
The density of states at the Fermi level comes out at 3.19 states/eV/f.u. Its space-group type is No. 10. The total DFT energy (no corrections) is -4.992 eV per atom.

Cell lengths 4.3267, 7.5637, 7.4974 Å; angles 109.35, 90.00, 90.00 degrees
Atoms (fractional coordinates):
Se 0.0000 0.2644 0.7657
Pb 0.0000 0.0000 0.0000
Se 0.5000 0.7416 0.7603
Se 0.0000 0.7356 0.2343
Sr 0.5000 0.0000 0.5000
Sr 0.0000 0.5000 0.5000
Y 0.5000 0.5000 0.0000
Se 0.5000 0.2584 0.2397

The following is a DFT calculation (PBE) of a relaxed Ta2TcW crystal.

Calculated values
The density of states at the Fermi level comes out at 2.63 states/eV/f.u. Its formation energy from the elements is 184 meV per atom. Its space-group type is No. 160. The total DFT energy (no corrections) is -11.573 eV per atom. The calculation puts the excess energy over the best structure of this formula in the dataset at 486.8 meV per atom.

Cell lengths 9.2636, 9.2636, 9.2636 Å; angles 18.29, 18.29, 18.29 degrees
Atoms (fractional coordinates):
Ta 0.0015 0.0015 0.0015
Ta 0.2462 0.2462 0.2462
Tc 0.4978 0.4978 0.4978
W 0.7546 0.7546 0.7546

The following is a DFT calculation (PBE) of a relaxed SrVSe3 crystal.

Calculated values
The density of states at the Fermi level comes out at 3.92 states/eV/f.u. Its space-group type is No. 221. The total DFT energy (no corrections) is -5.204 eV per atom. The calculation puts the excess energy over the best structure of this formula in the dataset at 0.0 meV per atom.

Cell lengths 4.9577, 4.9577, 4.9577 Å; angles 90.00, 90.00, 90.00 degrees
Atoms (fractional coordinates):
Sr 0.5000 0.5000 0.5000
Se 0.5000 0.0000 0.0000
V 0.0000 0.0000 0.0000
Se 0.0000 0.0000 0.5000
Se 0.0000 0.5000 0.0000

> Which of these has the lowest total DFT energy (no corrections)?

Ta2TcW